CaV2O4 PBE+U optimized geometry; total DFT energy (no corrections) = -7.48 eV per atom; space-group type = No. 8; density = 3.895 Mg/m³
1.0
5.4968 -3.1390 0.0000
5.4968 3.1390 0.0000
-0.1754 0.0000 15.2670
Ca V O
6 12 24
direct
0.0000 0.0000 0.0000
0.1659 0.1659 0.8324
0.3294 0.3294 0.6637
0.3321 0.3321 0.2904
0.5005 0.5005 0.5006
0.8365 0.8365 0.1664
0.0072 0.0072 0.3757
0.1652 0.6664 0.8320
0.3413 0.3413 0.0432
0.3452 0.8313 0.1670
0.5011 0.9971 0.4987
0.6622 0.6622 0.9528
0.6664 0.1652 0.8320
0.6699 0.6699 0.3307
0.6709 0.6709 0.7108
0.8313 0.3452 0.1670
0.9921 0.9921 0.6226
0.9971 0.5011 0.4987
0.0033 0.5225 0.7557
0.0162 0.0162 0.2483
0.1396 0.6643 0.5749
0.1571 0.1571 0.5739
0.1709 0.1709 0.0976
0.1963 0.6669 0.0916
0.3160 0.3160 0.4365
0.3260 0.8093 0.9080
0.3455 0.3455 0.9114
0.3601 0.8403 0.4134
0.4998 0.4998 0.7547
0.5075 0.9490 0.2502
0.5225 0.0033 0.7557
0.5246 0.5246 0.2406
0.6598 0.6598 0.0812
0.6643 0.1396 0.5749
0.6669 0.1963 0.0916
0.6805 0.6805 0.5769
0.8093 0.3260 0.9080
0.8312 0.8312 0.4155
0.8335 0.8335 0.9078
0.8403 0.3601 0.4134
0.9490 0.5075 0.2502
0.9857 0.9857 0.7541